A relaxed LaTlZnSe3 crystal. Source: the Open Quantum Materials Database, functional PBE.

Values from the calculation:
- total magnetization (μB per formula unit) = 0.0
- polymorph energy (0 for the lowest one) (meV per atom) = 3

Unit cell a=11.8767 b=4.3966 c=12.7145 alpha=90.00 beta=90.00 gamma=90.00
Closest atoms and distances in Å follow each position.
Space group Pnma (No. 62)
Asymmetric unit:
La 0.0190 0.2500 0.1766 x4  7 Se 3.04-3.22
Tl 0.1697 0.2500 0.5034 x4  7 Se 3.27-3.54, 2 Zn 3.54
Zn 0.2497 0.2500 0.7984 x4  4 Se 2.46-2.56
Se 0.0482 0.7500 0.3394 x4  1 Zn 2.46
Se 0.1065 0.2500 0.9401 x4  1 Zn 2.48
Se 0.2170 0.7500 0.6992 x4  2 Zn 2.56

=====

A relaxed La2TmSe3 crystal. Source: the Open Quantum Materials Database, functional PBE.

Values from the calculation:
- total magnetization (μB per formula unit) = 0.0

Unit cell a=4.1754 b=4.1754 c=10.5030 alpha=90.00 beta=90.00 gamma=120.00
Closest atoms and distances in Å follow each position.
Space group P-3m1 (No. 164)
Asymmetric unit:
La 0.3333 0.6667 0.1723 x2  6 Se 3.01-3.07
Tm 0.0000 0.0000 0.5000 x1  6 Se 2.86
Se 0.0000 0.0000 0.0000 x1  6 La 3.01
Se 0.3333 0.6667 0.6467 x2  3 Tm 2.86, 3 La 3.07

=====

A relaxed LaTm2Se3 crystal. Source: the Open Quantum Materials Database, functional PBE.

Values from the calculation:
- total magnetization (μB per formula unit) = 0.0

Unit cell a=4.0666 b=4.0666 c=10.2806 alpha=90.00 beta=90.00 gamma=120.00
Closest atoms and distances in Å follow each position.
Space group P-3m1 (No. 164)
Asymmetric unit:
La 0.0000 0.0000 0.0000 x1  6 Se 3.04
Tm 0.3333 0.6667 0.6613 x2  6 Se 2.81-2.87
Se 0.0000 0.0000 0.5000 x1  6 Tm 2.87
Se 0.3333 0.6667 0.1883 x2  3 Tm 2.81, 3 La 3.04

=====

A relaxed LaTmSe2 crystal. Source: the Open Quantum Materials Database, functional PBE.

Values from the calculation:
- total magnetization (μB per formula unit) = 0.0

Unit cell a=4.0948 b=4.0948 c=21.0093 alpha=90.00 beta=90.00 gamma=120.00
Closest atoms and distances in Å follow each position.
Space group R-3m (No. 166, hexagonal axes)
Asymmetric unit:
La 0.0000 0.0000 0.0000 x3  6 Se 3.05
Tm 0.0000 0.0000 0.5000 x3  6 Se 2.84
Se 0.0000 0.0000 0.2416 x6  3 Tm 2.84, 3 La 3.05

=====

A relaxed LaTmZnSe3 crystal. Source: the Open Quantum Materials Database, functional PBE.

Values from the calculation:
- total magnetization (μB per formula unit) = 0.0

Unit cell a=4.0322 b=14.2994 c=9.9866 alpha=90.00 beta=90.00 gamma=90.00
Closest atoms and distances in Å follow each position.
Space group Cmcm (No. 63)
Asymmetric unit:
La 0.0000 0.2268 0.2500 x4  6 Se 3.08-3.09
Tm 0.0000 0.0000 0.0000 x4  6 Se 2.91-2.96, 4 Zn 3.23
Zn 0.0000 0.4775 0.7500 x4  4 Se 2.64-2.77
Se 0.0000 0.1107 0.7500 x4  2 Zn 2.77, 2 Tm 2.96, 2 La 3.08
Se 0.0000 0.3576 0.5489 x8  1 Zn 2.64, 2 Tm 2.91

=====

A relaxed La2U2Se9 crystal. Source: the Open Quantum Materials Database, functional PBE.

Values from the calculation:
- total magnetization (μB per formula unit) = 3.6

Unit cell a=10.8127 b=5.6106 c=10.5459 alpha=90.00 beta=90.00 gamma=90.00
Closest atoms and distances in Å follow each position.
Space group Pmma (No. 51)
Asymmetric unit:
La 0.2500 0.0000 0.0262 x2  8 Se 3.09-3.15
La 0.2500 0.0000 0.5710 x2  10 Se 3.06-3.32
U 0.0084 0.5000 0.2521 x4  9 Se 2.87-3.02
Se 0.0000 0.2512 0.5000 x4  2 Se 2.79-2.82, 2 U 2.97
Se 0.0498 0.0000 0.8090 x4  2 U 2.95, 1 La 3.15
Se 0.1241 0.5000 0.9998 x4  2 Se 2.68-2.72, 1 U 2.94
Se 0.2500 0.2514 0.2865 x4  2 Se 2.79-2.82, 2 U 2.98, 1 La 3.09
Se 0.2500 0.5000 0.6865 x2  2 U 2.87, 2 La 3.06

=====

A relaxed La2ZrSe5 crystal. Source: the Open Quantum Materials Database, functional PBE.

Values from the calculation:
- total magnetization (μB per formula unit) = 0.0

Unit cell a=12.0976 b=8.5642 c=7.7791 alpha=90.00 beta=90.00 gamma=90.00
Closest atoms and distances in Å follow each position.
Space group Pnma (No. 62)
Asymmetric unit:
La 0.1738 0.0009 0.0515 x8  8 Se 3.04-3.18
Zr 0.0097 0.7500 0.5770 x4  7 Se 2.70-2.88
Se 0.0049 0.7500 0.9455 x4  1 Zr 2.87, 4 La 3.04-3.08
Se 0.0773 0.0370 0.6748 x8  2 Zr 2.70-2.88
Se 0.1891 0.7500 0.3527 x4  1 Zr 2.79, 2 La 3.11
Se 0.2093 0.2500 0.3342 x4  1 Zr 2.74

=====

A relaxed LaZrSe3 crystal. Source: the Open Quantum Materials Database, functional PBE.

Values from the calculation:
- total magnetization (μB per formula unit) = 0.4
- polymorph energy (0 for the lowest one) (meV per atom) = 29

Unit cell a=7.6985 b=10.0479 c=6.7225 alpha=90.00 beta=90.00 gamma=90.00
Closest atoms and distances in Å follow each position.
Space group Pnma (No. 62)
Asymmetric unit:
La 0.1121 0.2500 0.0539 x4  6 Se 3.00-3.11
Zr 0.0000 0.0000 0.5000 x4  6 Se 2.68-2.73
Se 0.0345 0.7500 0.3650 x4  2 Zr 2.68, 1 La 3.00
Se 0.1856 0.5594 0.8343 x8  2 Zr 2.73

=====

A relaxed LaZrSe3 crystal. Source: the Open Quantum Materials Database, functional PBE.

Values from the calculation:
- total magnetization (μB per formula unit) = 0.0
- polymorph energy (0 for the lowest one) (meV per atom) = 0

Unit cell a=3.9885 b=12.7362 c=9.9629 alpha=90.00 beta=90.00 gamma=90.00
Closest atoms and distances in Å follow each position.
Space group Cmcm (No. 63)
Asymmetric unit:
La 0.0000 0.2461 0.2500 x4  8 Se 3.04-3.39
Zr 0.0000 0.0000 0.0000 x4  6 Se 2.66-2.75
Se 0.0000 0.0741 0.7500 x4  2 Zr 2.66
Se 0.0000 0.3588 0.5587 x8  2 Zr 2.75, 2 La 3.07

=====

A relaxed La2SmSi2 crystal. Source: the Open Quantum Materials Database, functional PBE.

Values from the calculation:
- total magnetization (μB per formula unit) = 0.4

Unit cell a=7.7939 b=7.7939 c=4.4893 alpha=90.00 beta=90.00 gamma=90.00
Closest atoms and distances in Å follow each position.
Space group P4/mbm (No. 127)
Asymmetric unit:
La 0.1771 0.3229 0.0000 x4  6 Si 3.22-3.23
Sm 0.0000 0.0000 0.5000 x2  4 Si 3.15
Si 0.1117 0.6117 0.5000 x4  1 Si 2.46

=====

A relaxed LaSm2Zn4Si4 crystal. Source: the Open Quantum Materials Database, functional PBE.

Values from the calculation:
- total magnetization (μB per formula unit) = 0.0

Unit cell a=4.1686 b=4.1719 c=24.7613 alpha=90.00 beta=90.00 gamma=90.00
Closest atoms and distances in Å follow each position.
Space group Immm (No. 71)
Asymmetric unit:
La 0.0000 0.0000 0.0000 x2  4 Zn 3.16, 8 Si 3.18
Sm 0.0000 0.5000 0.3546 x4  6 Si 3.16-3.18, 8 Zn 3.20-3.33
Zn 0.0000 0.0000 0.2499 x4  4 Si 2.54
Zn 0.0000 0.5000 0.0956 x4  3 Si 2.37-2.39
Si 0.0000 0.0000 0.4517 x4  2 Zn 2.39, 1 Si 2.39
Si 0.0000 0.5000 0.1912 x4  5 Zn 2.37-2.54

=====

A relaxed La2SmZn4Si4 crystal. Source: the Open Quantum Materials Database, functional PBE.

Values from the calculation:
- total magnetization (μB per formula unit) = 0.0

Unit cell a=4.2066 b=4.2093 c=24.8099 alpha=90.00 beta=90.00 gamma=90.00
Closest atoms and distances in Å follow each position.
Space group Immm (No. 71)
Asymmetric unit:
La 0.0000 0.0000 0.1450 x4  6 Si 3.19-3.21, 8 Zn 3.24-3.35
Sm 0.0000 0.5000 0.5000 x2  4 Zn 3.13, 8 Si 3.20
Zn 0.0000 0.0000 0.4066 x4  3 Si 2.40-2.43
Zn 0.0000 0.5000 0.2500 x4  4 Si 2.56
Si 0.0000 0.0000 0.3086 x4  5 Zn 2.43-2.56
Si 0.0000 0.5000 0.0472 x4  1 Si 2.34, 2 Zn 2.40

=====

A relaxed SrLaZn2Si2 crystal. Source: the Open Quantum Materials Database, functional PBE.

Values from the calculation:
- total magnetization (μB per formula unit) = 0.0

Unit cell a=4.2595 b=4.2595 c=8.8927 alpha=90.00 beta=90.00 gamma=120.00
Closest atoms and distances in Å follow each position.
Space group P-3m1 (No. 164)
Asymmetric unit:
Sr 0.0000 0.0000 0.0000 x1  6 Si 3.39, 6 Zn 3.40
La 0.0000 0.0000 0.5000 x1  6 Zn 3.23, 6 Si 3.25
Zn 0.3333 0.6667 0.7362 x2  3 Si 2.46
Si 0.3333 0.6667 0.2616 x2  3 Zn 2.46

=====

A relaxed LaTaSi crystal. Source: the Open Quantum Materials Database, functional PBE.

Values from the calculation:
- total magnetization (μB per formula unit) = 0.3

Unit cell a=6.5981 b=6.5981 c=6.5981 alpha=90.00 beta=90.00 gamma=90.00
Closest atoms and distances in Å follow each position.
Space group F-43m (No. 216)
Asymmetric unit:
La 0.0000 0.0000 0.0000 x4  4 Si 2.86
Ta 0.0000 0.0000 0.5000 x4  4 Si 2.86
Si 0.2500 0.2500 0.2500 x4  4 Ta 2.86, 4 La 2.86

=====

A relaxed LaTaSi crystal. Source: the Open Quantum Materials Database, functional PBE.

Values from the calculation:
- total magnetization (μB per formula unit) = 2.7

Unit cell a=6.9037 b=6.9037 c=6.9037 alpha=90.00 beta=90.00 gamma=90.00
Closest atoms and distances in Å follow each position.
Space group F-43m (No. 216)
Asymmetric unit:
La 0.0000 0.0000 0.0000 x4  4 Si 2.99, 4 Ta 2.99
Ta 0.2500 0.2500 0.2500 x4  4 La 2.99
Si 0.2500 0.2500 0.7500 x4  4 La 2.99

=====

A relaxed LaTbSi crystal. Source: the Open Quantum Materials Database, functional PBE.

Values from the calculation:
- total magnetization (μB per formula unit) = 0.0

Unit cell a=7.0652 b=7.0652 c=7.0652 alpha=90.00 beta=90.00 gamma=90.00
Closest atoms and distances in Å follow each position.
Space group F-43m (No. 216)
Asymmetric unit:
La 0.0000 0.0000 0.0000 x4  4 Si 3.06
Tb 0.0000 0.0000 0.5000 x4  4 Si 3.06
Si 0.2500 0.2500 0.2500 x4  4 Tb 3.06, 4 La 3.06

=====

A relaxed La2TbZn4Si4 crystal. Source: the Open Quantum Materials Database, functional PBE.

Values from the calculation:
- total magnetization (μB per formula unit) = 0.0

Unit cell a=4.1826 b=4.2046 c=24.8001 alpha=90.00 beta=90.00 gamma=90.00
Closest atoms and distances in Å follow each position.
Space group Immm (No. 71)
Asymmetric unit:
La 0.0000 0.0000 0.1446 x4  6 Si 3.18-3.20, 8 Zn 3.23-3.36
Tb 0.0000 0.5000 0.0000 x2  4 Zn 3.11, 8 Si 3.19
Zn 0.0000 0.0000 0.4073 x4  3 Si 2.39-2.44
Zn 0.0000 0.5000 0.2501 x4  4 Si 2.55-2.56
Si 0.0000 0.0000 0.3090 x4  5 Zn 2.44-2.56
Si 0.0000 0.5000 0.4531 x4  1 Si 2.33, 2 Zn 2.39

=====

A relaxed LaTb2Zn4Si4 crystal. Source: the Open Quantum Materials Database, functional PBE.

Values from the calculation:
- total magnetization (μB per formula unit) = 0.0

Unit cell a=4.1170 b=4.1388 c=24.7176 alpha=90.00 beta=90.00 gamma=90.00
Closest atoms and distances in Å follow each position.
Space group Immm (No. 71)
Asymmetric unit:
La 0.0000 0.0000 0.0000 x2  4 Zn 3.14, 8 Si 3.16
Tb 0.0000 0.5000 0.1448 x4  6 Si 3.13-3.14, 8 Zn 3.16-3.33
Zn 0.0000 0.0000 0.2502 x4  4 Si 2.53
Zn 0.0000 0.5000 0.4041 x4  3 Si 2.34-2.38
Si 0.0000 0.0000 0.4514 x4  2 Zn 2.38, 1 Si 2.40
Si 0.0000 0.5000 0.3093 x4  5 Zn 2.34-2.53

=====

A relaxed LaSi2Tc crystal. Source: the Open Quantum Materials Database, functional PBE.

Values from the calculation:
- total magnetization (μB per formula unit) = 0.0

Unit cell a=7.3989 b=4.0327 c=10.4179 alpha=90.00 beta=90.00 gamma=90.00
Closest atoms and distances in Å follow each position.
Space group Pnma (No. 62)
Asymmetric unit:
La 0.1450 0.2500 0.1250 x4  9 Si 3.12-3.39, 2 Tc 3.36
Si 0.1640 0.2500 0.8123 x4  2 Tc 2.47-2.57, 2 Si 2.56
Si 0.1921 0.2500 0.4233 x4  3 Tc 2.43-2.46, 2 Si 2.56
Tc 0.0071 0.7500 0.3919 x4  5 Si 2.43-2.57

=====

A relaxed LaSi2Tc2 crystal. Source: the Open Quantum Materials Database, functional PBE.

Values from the calculation:
- total magnetization (μB per formula unit) = 0.0
- polymorph energy (0 for the lowest one) (meV per atom) = 0

Unit cell a=4.1504 b=4.2404 c=20.9542 alpha=90.00 beta=90.00 gamma=90.00
Closest atoms and distances in Å follow each position.
Space group Imma (No. 74)
Asymmetric unit:
La 0.0000 0.2500 0.1627 x4  10 Si 3.21-3.23, 4 Tc 3.34-3.40
Si 0.0000 0.2500 0.6033 x4  1 Si 2.47, 4 Tc 2.51-2.53
Si 0.0000 0.2500 0.7211 x4  3 Si 2.40-2.47
Tc 0.0000 0.2500 0.4623 x4  2 Si 2.53, 4 Tc 2.58-2.64
Tc 0.0000 0.2500 0.9643 x4  2 Si 2.51, 4 Tc 2.58-2.59

=====

A relaxed LaSiTc crystal. Source: the Open Quantum Materials Database, functional PBE.

Values from the calculation:
- total magnetization (μB per formula unit) = 0.0
- polymorph energy (0 for the lowest one) (meV per atom) = 638

Unit cell a=6.3982 b=6.3982 c=6.3982 alpha=90.00 beta=90.00 gamma=90.00
Closest atoms and distances in Å follow each position.
Space group F-43m (No. 216)
Asymmetric unit:
La 0.0000 0.0000 0.0000 x4  4 Tc 2.77
Si 0.0000 0.0000 0.5000 x4  4 Tc 2.77
Tc 0.2500 0.2500 0.2500 x4  4 La 2.77, 4 Si 2.77

=====

Number 1: total energy -4.34 eV/atom. Number 2: total energy -6.02 eV/atom. Number 3: total energy -5.84 eV/atom. Number 4: total energy -5.93 eV/atom. Number 5: total energy -4.85 eV/atom. Number 6: total energy -6.28 eV/atom. Number 7: total energy -6.28 eV/atom. Number 8: total energy -6.42 eV/atom. Number 9: total energy -6.45 eV/atom. Number 10: total energy -5.74 eV/atom. Number 11: total energy -4.30 eV/atom. Number 12: total energy -4.34 eV/atom. Number 13: total energy -3.88 eV/atom. Number 14: total energy -7.17 eV/atom. Number 15: total energy -6.08 eV/atom. Number 16: total energy -5.45 eV/atom. Number 17: total energy -4.33 eV/atom. Number 18: total energy -4.26 eV/atom. Number 19: total energy -7.19 eV/atom. Number 20: total energy -7.90 eV/atom. Number 21: total energy -6.86 eV/atom.